Entry 1:
Density functional theory data (GGA-PBEsol) for a relaxed CuH2Pt crystal.

## Properties
Space-group type   I-42d, No. 122
Electronic total energy   -4.418 eV/atom

Cell: 5.1847 5.1847 5.1847 Å, 134.96 134.96 65.59°
Fractional coordinates of all 8 atoms:
1 Cu 0.0000 0.0000 0.0000
2 Cu 0.7500 0.2500 0.5000
3 H 0.1237 0.6250 0.9987
4 H 0.3750 0.3737 0.4987
5 H 0.6263 0.1250 0.0013
6 H 0.8750 0.8763 0.5013
7 Pt 0.2500 0.7500 0.5000
8 Pt 0.5000 0.5000 0.0000


Entry 2:
Density functional theory data (GGA-PBEsol) for a relaxed HPb3W crystal.

## Properties
Space-group type   Pm-3m, No. 221
Electronic total energy   -4.839 eV/atom

Cell: 5.3021 5.3021 5.3021 Å, 90.00 90.00 90.00°
Fractional coordinates of all 5 atoms:
1 H 0.0000 0.0000 0.0000
2 Pb 0.0000 0.5000 0.5000
3 Pb 0.5000 0.0000 0.5000
4 Pb 0.5000 0.5000 0.0000
5 W 0.5000 0.5000 0.5000


Entry 3:
Density functional theory data (GGA-PBEsol) for a relaxed SrLa2Pd2 crystal.

## Properties
Space-group type   I4/mmm, No. 139
Electronic total energy   -5.315 eV/atom

Cell: 7.0138 7.0138 7.0138 Å, 139.49 139.49 58.62°
Fractional coordinates of all 5 atoms:
1 Sr 0.0000 0.0000 0.0000
2 La 0.2500 0.7500 0.5000
3 La 0.7500 0.2500 0.5000
4 Pd 0.3907 0.3907 0.0000
5 Pd 0.6093 0.6093 0.0000


Entry 4:
Density functional theory data (GGA-PBEsol) for a relaxed MnCNF2 crystal.

## Properties
Formation energy from raw total energies   -1.28 eV/f.u.
Space-group type   P4/mmm, No. 123

Cell: 4.4417 4.4417 2.4847 Å, 90.00 90.00 90.00°
Fractional coordinates of all 5 atoms:
1 Mn 0.0000 0.0000 0.0000
2 C 0.5000 0.5000 0.5000
3 N 0.5000 0.5000 0.0000
4 F 0.0000 0.5000 0.5000
5 F 0.5000 0.0000 0.5000


Entry 5:
Density functional theory data (GGA-PBEsol) for a relaxed Tb2H16S3O20 crystal.

## Properties
Space-group type   C2/c, No. 15
Electronic total energy   -5.961 eV/atom

Cell: 7.3977 7.3977 17.9654 Å, 101.15 101.15 53.81°
Fractional coordinates of all 82 atoms:
1 Tb 0.1432 0.1959 0.3938
2 Tb 0.1959 0.1432 0.8938
3 Tb 0.8041 0.8568 0.1062
4 Tb 0.8568 0.8041 0.6062
5 H 0.0329 0.8595 0.3484
6 H 0.1405 0.9671 0.1516
7 H 0.1682 0.8068 0.9565
8 H 0.1932 0.8318 0.5435
9 H 0.2004 0.2518 0.2446
10 H 0.2096 0.5066 0.9848
11 H 0.2518 0.2004 0.7446
12 H 0.2836 0.7010 0.1616
13 H 0.2926 0.4678 0.4959
14 H 0.2990 0.7164 0.3384
15 H 0.3058 0.3628 0.8034
16 H 0.3258 0.6570 0.6065
17 H 0.3430 0.6742 0.8935
18 H 0.3628 0.3058 0.3034
19 H 0.4678 0.2926 0.9959
20 H 0.4934 0.7904 0.5152
21 H 0.5066 0.2096 0.4848
22 H 0.5322 0.7074 0.0041
23 H 0.6372 0.6942 0.6966
24 H 0.6570 0.3258 0.1065
25 H 0.6742 0.3430 0.3935
26 H 0.6942 0.6372 0.1966
27 H 0.7010 0.2836 0.6616
28 H 0.7074 0.5322 0.5041
29 H 0.7164 0.2990 0.8384
30 H 0.7482 0.7996 0.2554
31 H 0.7904 0.4934 0.0152
32 H 0.7996 0.7482 0.7554
33 H 0.8068 0.1682 0.4565
34 H 0.8318 0.1932 0.0435
35 H 0.8595 0.0329 0.8484
36 H 0.9671 0.1405 0.6516
37 S 0.1793 0.2480 0.0904
38 S 0.2480 0.1793 0.5904
39 S 0.3348 0.6652 0.7500
40 S 0.6652 0.3348 0.2500
41 S 0.7520 0.8207 0.4096
42 S 0.8207 0.7520 0.9096
43 O 0.0495 0.2235 0.0174
44 O 0.0874 0.4198 0.5799
45 O 0.1179 0.4800 0.1032
46 O 0.1193 0.1989 0.1540
47 O 0.1219 0.7021 0.7123
48 O 0.1338 0.8330 0.1441
49 O 0.1670 0.8662 0.3559
50 O 0.1989 0.1193 0.6540
51 O 0.2027 0.7095 0.5631
52 O 0.2235 0.0495 0.5174
53 O 0.2582 0.2602 0.7992
54 O 0.2602 0.2582 0.2992
55 O 0.2905 0.7973 0.9369
56 O 0.2979 0.8781 0.7877
57 O 0.3270 0.3586 0.9602
58 O 0.3586 0.3270 0.4602
59 O 0.4198 0.0874 0.0799
60 O 0.4299 0.5041 0.8089
61 O 0.4800 0.1179 0.6032
62 O 0.4959 0.5701 0.6911
63 O 0.5041 0.4299 0.3089
64 O 0.5200 0.8821 0.3968
65 O 0.5701 0.4959 0.1911
66 O 0.5802 0.9126 0.9201
67 O 0.6414 0.6730 0.5398
68 O 0.6730 0.6414 0.0398
69 O 0.7021 0.1219 0.2123
70 O 0.7095 0.2027 0.0631
71 O 0.7398 0.7418 0.7008
72 O 0.7418 0.7398 0.2008
73 O 0.7765 0.9505 0.4826
74 O 0.7973 0.2905 0.4369
75 O 0.8011 0.8807 0.3460
76 O 0.8330 0.1338 0.6441
77 O 0.8662 0.1670 0.8559
78 O 0.8781 0.2979 0.2877
79 O 0.8807 0.8011 0.8460
80 O 0.8821 0.5200 0.8968
81 O 0.9126 0.5802 0.4201
82 O 0.9505 0.7765 0.9826


Entry 6:
Density functional theory data (GGA-PBEsol) for a relaxed TbPr3 crystal.

## Properties
Space-group type   P6_3/mmc, No. 194
Electronic total energy   -5.110 eV/atom

Cell: 7.2256 7.2256 5.8520 Å, 90.00 90.00 120.00°
Fractional coordinates of all 8 atoms:
1 Tb 0.3333 0.6667 0.2500
2 Tb 0.6667 0.3333 0.7500
3 Pr 0.1671 0.3343 0.7500
4 Pr 0.1671 0.8329 0.7500
5 Pr 0.3343 0.1671 0.2500
6 Pr 0.6657 0.8329 0.7500
7 Pr 0.8329 0.1671 0.2500
8 Pr 0.8329 0.6657 0.2500


| no. | calculated density (g/cm³) | volume (Å³/cell) |
| --- | --- | --- |
| 1 | 12.6 | 68.7 |
| 2 | 9.0 | 149.1 |
| 3 | 6.7 | 144.2 |
| 4 | 4.0 | 49.0 |
| 5 | 3.2 | 774.7 |
| 6 | 7.3 | 264.6 |